Entry w
Material: SrAsP2O
Method: DFT, GGA-PBE
State: relaxed

CIF file:
```
data_SrAsP2O
_chemical_formula_sum 'Sr1 As1 P2 O1'
_symmetry_space_group_name_H-M 'P 1'
_symmetry_Int_Tables_number 1
_cell_length_a 4.993
_cell_length_b 4.993
_cell_length_c 3.955
_cell_angle_alpha 90.00
_cell_angle_beta 90.00
_cell_angle_gamma 90.00
loop_
_symmetry_equiv_pos_as_xyz
'x,y,z'
loop_
_atom_site_label
_atom_site_fract_x
_atom_site_fract_y
_atom_site_fract_z
Sr1 0.500 0.500 0.500
As1 0.000 0.000 0.000
O1 0.000 0.000 0.500
P1 0.500 0.000 0.000
P2 0.000 0.500 0.000
```



Entry x
Material: SrAsP2O
Method: DFT, GGA-PBE
State: relaxed

CIF file:
```
data_SrAsP2O
_chemical_formula_sum 'Sr1 As1 P2 O1'
_symmetry_space_group_name_H-M 'P 1'
_symmetry_Int_Tables_number 1
_cell_length_a 5.781
_cell_length_b 5.781
_cell_length_c 4.249
_cell_angle_alpha 90.00
_cell_angle_beta 90.00
_cell_angle_gamma 90.00
loop_
_symmetry_equiv_pos_as_xyz
'x,y,z'
loop_
_atom_site_label
_atom_site_fract_x
_atom_site_fract_y
_atom_site_fract_z
O1 0.000 0.000 0.500
As1 0.500 0.500 0.500
P1 0.500 0.000 0.000
P2 0.000 0.500 0.000
Sr1 0.000 0.000 0.000
```



Pick entry w: it beats the second-best structure by 1.145 eV/atom.



Entry w
Material: SrAsPO2
Method: DFT, GGA-PBE
State: relaxed

CIF file:
```
data_SrAsPO2
_chemical_formula_sum 'Sr1 As1 P1 O2'
_symmetry_space_group_name_H-M 'P 1'
_symmetry_Int_Tables_number 1
_cell_length_a 4.369
_cell_length_b 4.369
_cell_length_c 7.008
_cell_angle_alpha 90.00
_cell_angle_beta 90.00
_cell_angle_gamma 90.00
loop_
_symmetry_equiv_pos_as_xyz
'x,y,z'
loop_
_atom_site_label
_atom_site_fract_x
_atom_site_fract_y
_atom_site_fract_z
P1 0.000 0.000 0.500
As1 0.500 0.500 0.500
O1 0.000 0.500 0.000
O2 0.500 0.000 0.000
Sr1 0.000 0.000 0.000
```



Entry x
Material: SrAsPO2
Method: DFT, GGA-PBE
State: relaxed

CIF file:
```
data_SrAsPO2
_chemical_formula_sum 'Sr1 As1 P1 O2'
_symmetry_space_group_name_H-M 'P 1'
_symmetry_Int_Tables_number 1
_cell_length_a 4.126
_cell_length_b 4.126
_cell_length_c 4.713
_cell_angle_alpha 90.00
_cell_angle_beta 90.00
_cell_angle_gamma 90.00
loop_
_symmetry_equiv_pos_as_xyz
'x,y,z'
loop_
_atom_site_label
_atom_site_fract_x
_atom_site_fract_y
_atom_site_fract_z
P1 0.000 0.000 0.500
O1 0.000 0.500 0.000
O2 0.500 0.000 0.000
As1 0.000 0.000 0.000
Sr1 0.500 0.500 0.500
```



Pick entry x: it beats the second-best structure by 1.119 eV/atom.



Entry w
Material: TaAsP2O
Method: DFT, GGA-PBE
State: relaxed

CIF file:
```
data_TaAsP2O
_chemical_formula_sum 'Ta1 As1 P2 O1'
_symmetry_space_group_name_H-M 'P 1'
_symmetry_Int_Tables_number 1
_cell_length_a 4.965
_cell_length_b 4.965
_cell_length_c 3.818
_cell_angle_alpha 90.00
_cell_angle_beta 90.00
_cell_angle_gamma 90.00
loop_
_symmetry_equiv_pos_as_xyz
'x,y,z'
loop_
_atom_site_label
_atom_site_fract_x
_atom_site_fract_y
_atom_site_fract_z
P1 0.500 0.000 0.000
P2 0.000 0.500 0.000
As1 0.500 0.500 0.500
Ta1 0.000 0.000 0.000
O1 0.000 0.000 0.500
```



Entry x
Material: TaAsP2O
Method: DFT, GGA-PBE
State: relaxed

CIF file:
```
data_TaAsP2O
_chemical_formula_sum 'Ta1 As1 P2 O1'
_symmetry_space_group_name_H-M 'P 1'
_symmetry_Int_Tables_number 1
_cell_length_a 4.708
_cell_length_b 4.708
_cell_length_c 3.614
_cell_angle_alpha 90.00
_cell_angle_beta 90.00
_cell_angle_gamma 90.00
loop_
_symmetry_equiv_pos_as_xyz
'x,y,z'
loop_
_atom_site_label
_atom_site_fract_x
_atom_site_fract_y
_atom_site_fract_z
O1 0.000 0.000 0.500
P1 0.000 0.500 0.000
P2 0.500 0.000 0.000
Ta1 0.500 0.500 0.500
As1 0.000 0.000 0.000
```



Pick entry w: it beats the second-best structure by 0.784 eV/atom.



Entry w
Material: TcAsP2O
Method: DFT, GGA-PBE
State: relaxed

CIF file:
```
data_TcAsP2O
_chemical_formula_sum 'Tc1 As1 P2 O1'
_symmetry_space_group_name_H-M 'P 1'
_symmetry_Int_Tables_number 1
_cell_length_a 4.742
_cell_length_b 4.742
_cell_length_c 3.569
_cell_angle_alpha 90.00
_cell_angle_beta 90.00
_cell_angle_gamma 90.00
loop_
_symmetry_equiv_pos_as_xyz
'x,y,z'
loop_
_atom_site_label
_atom_site_fract_x
_atom_site_fract_y
_atom_site_fract_z
As1 0.000 0.000 0.000
P1 0.500 0.000 0.000
P2 0.000 0.500 0.000
O1 0.000 0.000 0.500
Tc1 0.500 0.500 0.500
```



Entry x
Material: TcAsP2O
Method: DFT, GGA-PBE
State: relaxed

CIF file:
```
data_TcAsP2O
_chemical_formula_sum 'Tc1 As1 P2 O1'
_symmetry_space_group_name_H-M 'P 1'
_symmetry_Int_Tables_number 1
_cell_length_a 4.782
_cell_length_b 4.782
_cell_length_c 3.680
_cell_angle_alpha 90.00
_cell_angle_beta 90.00
_cell_angle_gamma 90.00
loop_
_symmetry_equiv_pos_as_xyz
'x,y,z'
loop_
_atom_site_label
_atom_site_fract_x
_atom_site_fract_y
_atom_site_fract_z
P1 0.500 0.000 0.000
P2 0.000 0.500 0.000
As1 0.500 0.500 0.500
O1 0.000 0.000 0.500
Tc1 0.000 0.000 0.000
```



Pick entry x: it beats the second-best structure by 0.663 eV/atom.



Entry w
Material: TeAsPO2
Method: DFT, GGA-PBE
State: relaxed

CIF file:
```
data_TeAsPO2
_chemical_formula_sum 'Te1 As1 P1 O2'
_symmetry_space_group_name_H-M 'P 1'
_symmetry_Int_Tables_number 1
_cell_length_a 3.831
_cell_length_b 3.831
_cell_length_c 5.194
_cell_angle_alpha 90.00
_cell_angle_beta 90.00
_cell_angle_gamma 90.00
loop_
_symmetry_equiv_pos_as_xyz
'x,y,z'
loop_
_atom_site_label
_atom_site_fract_x
_atom_site_fract_y
_atom_site_fract_z
O1 0.500 0.000 0.000
O2 0.000 0.500 0.000
Te1 0.500 0.500 0.500
As1 0.000 0.000 0.000
P1 0.000 0.000 0.500
```



Entry x
Material: TeAsPO2
Method: DFT, GGA-PBE
State: relaxed

CIF file:
```
data_TeAsPO2
_chemical_formula_sum 'Te1 As1 P1 O2'
_symmetry_space_group_name_H-M 'P 1'
_symmetry_Int_Tables_number 1
_cell_length_a 3.930
_cell_length_b 3.930
_cell_length_c 5.595
_cell_angle_alpha 90.00
_cell_angle_beta 90.00
_cell_angle_gamma 90.00
loop_
_symmetry_equiv_pos_as_xyz
'x,y,z'
loop_
_atom_site_label
_atom_site_fract_x
_atom_site_fract_y
_atom_site_fract_z
As1 0.500 0.500 0.500
O1 0.000 0.500 0.000
O2 0.500 0.000 0.000
Te1 0.000 0.000 0.000
P1 0.000 0.000 0.500
```



Pick entry w: it beats the second-best structure by 0.117 eV/atom.